1.
The following is a DFT calculation (PBE) of Rb2SbAuCl6 after structural relaxation.

Cell and atoms, written as POSCAR:
```
Rb2SbAuCl6
1.0
0.000 5.371 5.371
5.371 0.000 5.371
5.371 5.371 0.000
Rb Sb Au Cl
2 1 1 6
Direct
0.250 0.250 0.250
0.750 0.750 0.750
0.000 0.000 0.000
0.500 0.500 0.500
0.248 0.248 0.752
0.248 0.752 0.248
0.248 0.752 0.752
0.752 0.248 0.248
0.752 0.248 0.752
0.752 0.752 0.248
```

Calculated values
**Raw formation energy**: -1.136 eV per atom
**Calculated volume**: 310 Å³/cell
**E above lowest polymorph**: 61 meV/atom


2.
The following is a DFT calculation (PBE) of Rb2SbAuCl6 after structural relaxation.

Cell and atoms, written as POSCAR:
```
Rb2SbAuCl6
1.0
7.806 0.000 0.000
0.036 7.914 0.000
3.839 3.626 5.990
Rb Sb Au Cl
2 1 1 6
Direct
0.000 0.000 0.000
0.465 0.450 0.039
0.767 0.337 0.448
0.218 0.646 0.430
0.060 0.558 0.023
0.468 0.130 0.875
0.551 0.646 0.303
0.630 0.123 0.364
0.889 0.649 0.532
0.996 0.138 0.524
```

Calculated values
**Raw formation energy**: -1.197 eV per atom
**Calculated volume**: 370 Å³/cell
**E above lowest polymorph**: 0 meV/atom


3.
The following is a DFT calculation (PBE) of Rb2ScAuCl6 after structural relaxation.

Cell and atoms, written as POSCAR:
```
Rb2ScAuCl6
1.0
0.000 5.247 5.247
5.247 0.000 5.247
5.247 5.247 0.000
Rb Sc Au Cl
2 1 1 6
Direct
0.250 0.250 0.250
0.750 0.750 0.750
0.000 0.000 0.000
0.500 0.500 0.500
0.239 0.239 0.761
0.239 0.761 0.239
0.239 0.761 0.761
0.761 0.239 0.239
0.761 0.239 0.761
0.761 0.761 0.239
```

Calculated values
**Raw formation energy**: -1.619 eV per atom
**Calculated volume**: 289 Å³/cell
**E above lowest polymorph**: 16 meV/atom


4.
The following is a DFT calculation (PBE) of Rb2ScAuCl6 after structural relaxation.

Cell and atoms, written as POSCAR:
```
Rb2ScAuCl6
1.0
7.920 0.000 0.000
0.000 9.816 0.000
0.000 0.000 7.924
Rb Sc Au Cl
4 2 2 12
Direct
0.250 0.000 0.248
0.250 0.500 0.248
0.750 0.000 0.752
0.750 0.500 0.752
0.250 0.250 0.750
0.750 0.750 0.250
0.250 0.750 0.749
0.750 0.250 0.251
0.029 0.250 0.529
0.029 0.250 0.970
0.250 0.510 0.752
0.250 0.990 0.752
0.471 0.250 0.529
0.471 0.250 0.970
0.529 0.750 0.030
0.529 0.750 0.471
0.750 0.010 0.248
0.750 0.490 0.248
0.971 0.750 0.030
0.971 0.750 0.471
```

Calculated values
**Raw formation energy**: -1.635 eV per atom
**Calculated volume**: 616 Å³/cell
**E above lowest polymorph**: 0 meV/atom


5.
The following is a DFT calculation (PBE) of Rb2ScAuCl6 after structural relaxation.

Cell and atoms, written as POSCAR:
```
Rb2ScAuCl6
1.0
-4.054 4.054 4.547
4.054 -4.054 4.547
4.054 4.054 -4.547
Rb Sc Au Cl
2 1 1 6
Direct
0.250 0.750 0.500
0.750 0.250 0.500
0.000 0.000 0.000
0.500 0.500 0.000
0.219 0.219 0.437
0.219 0.781 0.000
0.257 0.257 0.000
0.743 0.743 0.000
0.781 0.219 0.000
0.781 0.781 0.563
```

Calculated values
**Raw formation energy**: -1.588 eV per atom
**Calculated volume**: 299 Å³/cell
**E above lowest polymorph**: 47 meV/atom


6.
The following is a DFT calculation (PBE) of RbAuSe2Cl after structural relaxation.

Cell and atoms, written as POSCAR:
```
RbAuSe2Cl
1.0
4.945 0.000 0.000
0.000 4.945 0.000
0.000 0.000 8.270
Rb Au Se Cl
1 1 2 1
Direct
0.000 0.000 0.000
0.000 0.000 0.500
0.000 0.500 0.500
0.500 0.000 0.500
0.500 0.500 0.000
```

Calculated values
**Raw formation energy**: -0.255 eV per atom
**Calculated volume**: 202 Å³/cell


7.
The following is a DFT calculation (PBE) of Rb2SmAuCl6 after structural relaxation.

Cell and atoms, written as POSCAR:
```
Rb2SmAuCl6
1.0
0.000 5.443 5.443
5.443 0.000 5.443
5.443 5.443 0.000
Rb Sm Au Cl
2 1 1 6
Direct
0.250 0.250 0.250
0.750 0.750 0.750
0.000 0.000 0.000
0.500 0.500 0.500
0.247 0.247 0.753
0.247 0.753 0.247
0.247 0.753 0.753
0.753 0.247 0.247
0.753 0.247 0.753
0.753 0.753 0.247
```

Calculated values
**Raw formation energy**: -1.660 eV per atom
**Calculated volume**: 322 Å³/cell


8.
The following is a DFT calculation (PBE) of Rb2SnAuCl after structural relaxation.

Cell and atoms, written as POSCAR:
```
Rb2SnAuCl
1.0
6.448 0.000 0.000
0.000 6.448 0.000
0.000 0.000 5.033
Rb Sn Au Cl
2 1 1 1
Direct
0.000 0.500 0.000
0.500 0.000 0.000
0.000 0.000 0.500
0.500 0.500 0.500
0.500 0.500 0.000
```

Calculated values
**Raw formation energy**: -0.212 eV per atom
**Calculated volume**: 209 Å³/cell


> What is the formula in the third record?

Rb2ScAuCl6


> Look up the raw formation energy of the second one.

-1.197 eV per atom